Here is a geometry-optimized Y3Mn structure from Alexandria via LeMat-Bulk. Energies are from PBE.

The calculation puts the energy of formation at 0.521 eV/f.u. The density of states at the Fermi level is 1.560 states/eV/atom. As for the total DFT energy (no corrections): -7.010 eV/atom.

Cell lengths 3.566, 3.566, 8.693 Å; angles 90.00, 90.00, 89.98 degrees
Last column: magnetic moment on the atom in μB.
Fractional coordinates of all 4 atoms:
Y1 0.000 0.000 0.500  0.26
Y2 0.500 0.500 0.200  -0.11
Y3 0.500 0.500 0.800  -0.11
Mn1 0.000 0.000 0.000  3.41